A relaxed NaSrCa2Tl4 crystal, computed with GGA-PBE.

Summary:
* calculated formation energy: -32.7 kJ per mole of atoms
* total DFT energy (no corrections): -2.398 eV/atom
* M_tot: 0.000 μB per formula unit
* V: 30.46 A^3/atom

Cell lengths 5.5488, 5.5488, 27.4181 Å; angles 90.00, 90.00, 120.00 degrees
Space group R-3m (No. 166, hexagonal axes)
Inequivalent atoms, fractional coordinates:
1 Na 0.0000 0.0000 0.0000 [3 per cell]
2 Sr 0.0000 0.0000 0.5000 [3 per cell]
3 Ca 0.0000 0.0000 0.2522 [6 per cell]
4 Tl 0.0000 0.0000 0.1207 [6 per cell]
5 Tl 0.0000 0.0000 0.3740 [6 per cell]